Entry from the Alexandria database: a geometry-optimized ErNpCdO6 structure (PBE).

## Properties
Raw formation energy: -2.52 eV/atom
Space-group type: No. 102

a = 5.093 Å, b = 5.093 Å, c = 10.196 Å
α = 90.00°, β = 90.00°, γ = 90.00°
Fractional positions:
Er1 0.500 0.500 0.169
Er2 0.000 0.000 0.669
Np1 0.500 0.500 0.833
Np2 0.000 0.000 0.333
Cd1 0.500 0.500 0.499
Cd2 0.000 0.000 0.999
O1 0.180 0.820 0.486
O2 0.820 0.180 0.486
O3 0.320 0.320 0.986
O4 0.680 0.680 0.986
O5 0.192 0.808 0.186
O6 0.808 0.192 0.186
O7 0.308 0.308 0.686
O8 0.692 0.692 0.686
O9 0.782 0.218 0.828
O10 0.218 0.782 0.828
O11 0.718 0.718 0.328
O12 0.282 0.282 0.328